LiAg3Pd2 | PBE | optimized geometry

Values from the calculation:
ΔE to the lowest computed polymorph = 0.017 eV/atom
E_form = -0.8 eV per formula unit

abc: 2.8690 5.6681 6.3545
angles: 102.81 103.02 90.55
Fractional positions:
Li 0.0000 0.0000 0.0000
Ag 0.0000 0.5000 0.0000
Ag 0.3321 0.1675 0.6663
Ag 0.6679 0.8325 0.3337
Pd 0.3370 0.6705 0.6721
Pd 0.6630 0.3295 0.3279